(1)
## Na2TaSbO6 (PBE)

Data for crystalline Na2TaSbO6 at its relaxed geometry.

Calculated values
- formation energy without anion corrections (eV/atom) = -2.079
- spin magnetization (μB/atom) = 0.000
- V (Å³/cell) = 124.7
- electronic total energy (eV/atom) = -6.915

Cell: 5.600 5.600 3.977 Å, 90.00 90.00 90.00°
Space group P4/mmm (No. 123)
Symmetry-distinct sites (fractional):
Na 0.000 0.500 0.000 [2 per cell]
Ta 0.000 0.000 0.500 [1 per cell]
Sb 0.500 0.500 0.500 [1 per cell]
O 0.000 0.000 0.000 [1 per cell]
O 0.250 0.250 0.500 [4 per cell]
O 0.500 0.500 0.000 [1 per cell]



(2)
## Th5TlIn4 (PBE)

Data for crystalline Th5TlIn4 at its relaxed geometry.

Calculated values
- spin magnetization (μB/atom) = 0.000
- V (Å³/cell) = 287.4
- electronic total energy (eV/atom) = -5.302
- formation energy (meV per atom) = -260

Cell: 3.520 3.520 23.196 Å, 90.00 90.00 90.00°
Space group P4/mmm (No. 123)
Symmetry-distinct sites (fractional):
Th 0.000 0.000 0.000 [1 per cell]
Th 0.000 0.000 0.199 [2 per cell]
Th 0.000 0.000 0.398 [2 per cell]
Tl 0.500 0.500 0.500 [1 per cell]
In 0.500 0.500 0.100 [2 per cell]
In 0.500 0.500 0.299 [2 per cell]



(3)
## ErTm3Tl4 (PBE)

Data for crystalline ErTm3Tl4 at its relaxed geometry.

Calculated values
- spin magnetization (μB/atom) = 0.000
- V (Å³/cell) = 211.2
- energy relative to the lowest polymorph listed for this composition (eV/f.u.) = 0.00
- electronic total energy (eV/atom) = -3.727
- formation energy (meV per atom) = -297

Cell: 3.747 3.747 15.044 Å, 90.00 90.00 90.00°
Space group P4/mmm (No. 123)
Symmetry-distinct sites (fractional):
Er 0.000 0.000 0.000 [1 per cell]
Tm 0.000 0.000 0.251 [2 per cell]
Tm 0.000 0.000 0.500 [1 per cell]
Tl 0.500 0.500 0.126 [2 per cell]
Tl 0.500 0.500 0.375 [2 per cell]



(4)
## Zr2CdTe (PBE)

Data for crystalline Zr2CdTe at its relaxed geometry.

Calculated values
- formation energy without anion corrections (eV/atom) = -0.207
- spin magnetization (μB/atom) = 0.000
- V (Å³/cell) = 180.5
- energy relative to the lowest polymorph listed for this composition (eV/f.u.) = 0.44
- electronic total energy (eV/atom) = -5.495

Cell: 4.271 4.271 9.894 Å, 90.00 90.00 90.00°
Space group I-4m2 (No. 119)
Symmetry-distinct sites (fractional):
Zr 0.000 0.000 0.000 [2 per cell]
Zr 0.000 0.500 0.250 [2 per cell]
Cd 0.000 0.500 0.750 [2 per cell]
Te 0.000 0.000 0.500 [2 per cell]



(5)
## LaZnRe2 (PBE)

Data for crystalline LaZnRe2 at its relaxed geometry.

Calculated values
- spin magnetization (μB/atom) = 0.000
- V (Å³/cell) = 78.8
- electronic total energy (eV/atom) = -7.244
- formation energy (meV per atom) = 530

Cell: 3.419 3.419 6.742 Å, 90.00 90.00 90.00°
Space group P4/mmm (No. 123)
Symmetry-distinct sites (fractional):
La 0.000 0.000 0.000 [1 per cell]
Zn 0.000 0.000 0.500 [1 per cell]
Re 0.500 0.500 0.326 [2 per cell]



(6)
## RbGaO2 (PBE)

Data for crystalline RbGaO2 at its relaxed geometry.

Calculated values
- formation energy without anion corrections (eV/atom) = -1.731
- spin magnetization (μB/atom) = 0.000
- V (Å³/cell) = 262.4
- electronic total energy (eV/atom) = -5.208

Cell: 3.235 13.322 6.088 Å, 90.00 90.00 90.00°
Space group Cmcm (No. 63)
Symmetry-distinct sites (fractional):
Rb 0.000 0.153 0.250 [4 per cell]
Ga 0.000 0.421 0.250 [4 per cell]
O 0.000 0.157 0.750 [4 per cell]
O 0.000 0.500 0.000 [4 per cell]



(7)
## PmNdNi (PBE)

Data for crystalline PmNdNi at its relaxed geometry.

Calculated values
- spin magnetization (μB/atom) = 0.000
- V (Å³/cell) = 317.5
- energy relative to the lowest polymorph listed for this composition (eV/f.u.) = 0.25
- electronic total energy (eV/atom) = -5.236
- formation energy (meV per atom) = -136

Cell: 13.292 3.507 7.049 Å, 90.00 104.90 90.00°
Space group C2/m (No. 12)
Symmetry-distinct sites (fractional):
Pm 0.130 0.000 0.068 [4 per cell]
Nd 0.127 0.000 0.563 [4 per cell]
Ni 0.003 0.500 0.767 [4 per cell]



(8)
## Tm2PuMnN4 (PBE)

Data for crystalline Tm2PuMnN4 at its relaxed geometry.

Calculated values
- formation energy without anion corrections (eV/atom) = -1.182
- spin magnetization (μB/atom) = 0.536
- V (Å³/cell) = 424.3
- electronic total energy (eV/atom) = -9.400

Cell: 3.318 11.223 11.393 Å, 90.00 90.00 90.00°
Space group Cmcm (No. 63)
Symmetry-distinct sites (fractional):
Tm 0.000 0.131 0.045 [8 per cell]
Pu 0.000 0.396 0.250 [4 per cell]
Mn 0.000 0.341 0.750 [4 per cell]
N 0.000 0.074 0.250 [4 per cell]
N 0.000 0.233 0.629 [8 per cell]
N 0.000 0.500 0.000 [4 per cell]



(9)
## PmNd5Ho6 (PBE)

Data for crystalline PmNd5Ho6 at its relaxed geometry.

Calculated values
- spin magnetization (μB/atom) = 0.000
- V (Å³/cell) = 787.7
- energy relative to the lowest polymorph listed for this composition (eV/f.u.) = 0.00
- electronic total energy (eV/atom) = -4.659
- formation energy (meV per atom) = 12

Cell: 6.254 10.830 11.814 Å, 90.00 100.13 90.00°
Space group C2/m (No. 12)
Symmetry-distinct sites (fractional):
Pm 0.000 0.000 0.000 [2 per cell]
Nd 0.000 0.167 0.500 [4 per cell]
Nd 0.000 0.333 0.000 [4 per cell]
Nd 0.000 0.500 0.500 [2 per cell]
Ho 0.250 0.000 0.750 [4 per cell]
Ho 0.250 0.167 0.250 [8 per cell]



(10)
## LiMnSb2P (PBE)

Data for crystalline LiMnSb2P at its relaxed geometry.

Calculated values
- formation energy without anion corrections (eV/atom) = 0.567
- spin magnetization (μB/atom) = 0.371
- V (Å³/cell) = 112.8
- electronic total energy (eV/atom) = -4.381

Cell: 4.901 4.901 4.696 Å, 90.00 90.00 90.00°
Space group P4/mmm (No. 123)
Symmetry-distinct sites (fractional):
Li 0.000 0.000 0.000 [1 per cell]
Mn 0.000 0.000 0.500 [1 per cell]
Sb 0.000 0.500 0.500 [2 per cell]
P 0.500 0.500 0.000 [1 per cell]



(11)
## Ba2LiAu (PBE)

Data for crystalline Ba2LiAu at its relaxed geometry.

Calculated values
- spin magnetization (μB/atom) = 0.125
- V (Å³/cell) = 288.1
- energy relative to the lowest polymorph listed for this composition (eV/f.u.) = 0.95
- electronic total energy (eV/atom) = -2.432
- formation energy (meV per atom) = -173

Cell: 4.862 4.862 12.192 Å, 90.00 90.00 90.00°
Space group I-4m2 (No. 119)
Symmetry-distinct sites (fractional):
Ba 0.000 0.000 0.000 [2 per cell]
Ba 0.000 0.500 0.250 [2 per cell]
Li 0.000 0.500 0.750 [2 per cell]
Au 0.000 0.000 0.500 [2 per cell]



(12)
## SmCoB (PBE)

Data for crystalline SmCoB at its relaxed geometry.

Calculated values
- spin magnetization (μB/atom) = 0.000
- V (Å³/cell) = 302.8
- energy relative to the lowest polymorph listed for this composition (eV/f.u.) = 0.78
- electronic total energy (eV/atom) = -6.340
- formation energy (meV per atom) = -173

Cell: 3.5198 3.5198 28.2196 Å, 90.00 90.00 120.00°
Space group R-3m (No. 166, hexagonal axes)
Symmetry-distinct sites (fractional):
Sm 0.0000 0.0000 0.1041 [6 per cell]
Co 0.0000 0.0000 0.3616 [6 per cell]
B 0.0000 0.0000 0.2917 [6 per cell]